Computed, not measured: crystalline Tm2AlGePt6 at its relaxed geometry at the PBE level of DFT.

Cell and atoms, written as POSCAR:
```
Tm2AlGePt6
1.0
-3.896 6.466 3.532
-4.848 -2.682 -0.439
-4.816 1.881 6.534
Tm Pt Al Ge
2 6 1 1
direct
0.798 0.202 0.596 Tm
0.202 0.798 0.404 Tm
0.252 0.748 0.003 Pt
0.748 0.752 0.997 Pt
0.248 0.252 0.497 Pt
0.752 0.748 0.503 Pt
0.748 0.252 0.997 Pt
0.252 0.248 0.003 Pt
0.500 0.500 0.000 Al
0.000 0.000 0.000 Ge
```

Properties
**Spin magnetization**: 0.0 μB/cell
**SG**: No. 166
**E**: -62.59 eV/cell